[1]
Below is a relaxed Pu2HgN crystal, with properties calculated at the PBE level.

Cell and atoms, written as POSCAR:
```
Pu2HgN
1.0
1.7127 0.9888 8.3508
-1.7127 0.9888 8.3508
0.0000 -1.9776 8.3508
Pu Hg N
2 1 1
Cartesian
0.0000 0.0000 0.0000
0.0000 0.0000 5.5182
0.0000 0.0000 19.4354
0.0000 0.0000 15.2699
```

Values from the calculation:
- ΔE to the lowest computed polymorph (eV/f.u.) = 0.00
- space-group type = R3m, No. 160

=====

[2]
Below is a relaxed RbHgN3 crystal, with properties calculated at the PBE level.

Cell and atoms, written as POSCAR:
```
RbHgN3
1.0
4.5217 0.0000 0.0000
0.0000 4.5217 0.0000
0.0000 0.0000 4.5217
Rb Hg N
1 1 3
Cartesian
0.0000 0.0000 0.0000
2.2608 2.2608 2.2608
0.0000 2.2608 2.2608
2.2608 0.0000 2.2608
2.2608 2.2608 0.0000
```

Values from the calculation:
- raw total energy (eV/atom) = -3.181
- space-group type = Pm-3m, No. 221

=====

[3]
Below is a relaxed RbHgN crystal, with properties calculated at the PBE level.

Cell and atoms, written as POSCAR:
```
RbHgN
1.0
6.5997 -3.2879 0.0000
6.5997 3.2879 0.0000
-0.0027 0.0000 4.0838
Rb Hg N
2 2 2
Cartesian
1.6876 0.0000 2.0398
11.5090 0.0000 2.0440
5.1130 0.0000 4.0795
8.0836 0.0000 0.0044
6.5997 1.6864 0.0000
6.5997 -1.6864 0.0000
```

Values from the calculation:
- raw total energy (eV/atom) = -2.368
- space-group type = C2/m, No. 12

=====

[4]
Below is a relaxed RbHgN2 crystal, with properties calculated at the PBE level.

Cell and atoms, written as POSCAR:
```
RbHgN2
1.0
2.3673 -10.3274 0.0000
2.3673 10.3274 0.0000
-0.0636 0.0000 4.7662
Rb Hg N
2 2 4
Cartesian
2.3196 8.5018 3.5746
2.3514 -8.5018 1.1915
1.1836 5.1637 0.0000
1.1519 -5.1637 2.3831
1.7416 0.8415 3.5697
1.7734 -0.8415 1.1866
2.8977 0.8415 3.5796
2.9294 -0.8415 1.1965
```

Values from the calculation:
- raw total energy (eV/atom) = -4.595
- space-group type = C2/c, No. 15

=====

[5]
Below is a relaxed RbHg2N crystal, with properties calculated at the PBE level.

Cell and atoms, written as POSCAR:
```
RbHg2N
1.0
-3.6584 3.6584 5.1989
3.6584 -3.6584 5.1989
3.6584 3.6584 -5.1989
Rb Hg N
2 4 2
Cartesian
0.0000 0.0000 0.0000
0.0000 3.6584 2.5994
1.8292 -0.0098 3.8992
3.6486 1.8292 1.2997
1.8292 3.6683 -1.2997
0.0098 1.8292 6.4986
3.6584 0.0000 2.5994
0.0000 0.0000 5.1989
```

Values from the calculation:
- raw total energy (eV/atom) = -1.890
- space-group type = I-42d, No. 122

=====

[6]
Below is a relaxed RbHgN2 crystal, with properties calculated at the PBE level.

Cell and atoms, written as POSCAR:
```
RbHgN2
1.0
2.1037 1.2146 7.5768
-2.1037 1.2146 7.5768
0.0000 -2.4292 7.5768
Rb Hg N
1 1 2
Cartesian
0.0000 0.0000 0.0000
0.0000 0.0000 11.3652
0.0000 0.0000 9.3520
0.0000 0.0000 13.3784
```

Values from the calculation:
- raw total energy (eV/atom) = -3.109
- space-group type = R-3m, No. 166

=====

[7]
Below is a relaxed RbHgN crystal, with properties calculated at the PBE level.

Cell and atoms, written as POSCAR:
```
RbHgN
1.0
4.4758 -2.6361 0.0000
4.4758 2.6361 0.0000
-2.9765 0.0000 9.0968
Rb Hg N
2 2 2
Cartesian
0.0139 0.0000 2.3711
5.9612 0.0000 6.7257
-0.0128 0.0000 9.0877
5.9878 0.0000 0.0091
2.4662 0.0000 4.3015
3.5088 0.0000 4.7953
```

Values from the calculation:
- raw total energy (eV/atom) = -3.351
- space-group type = C2/m, No. 12

=====

[8]
Below is a relaxed RbHgN2 crystal, with properties calculated at the PBE level.

Cell and atoms, written as POSCAR:
```
RbHgN2
1.0
1.8058 1.0426 7.2768
-1.8058 1.0426 7.2768
0.0000 -2.0852 7.2768
Rb Hg N
1 1 2
Cartesian
0.0000 0.0000 0.0000
0.0000 0.0000 10.9152
0.0000 0.0000 2.6735
0.0000 0.0000 19.1570
```

Values from the calculation:
- raw total energy (eV/atom) = -2.882
- space-group type = R-3m, No. 166

=====

[9]
Below is a relaxed RbHgN2 crystal, with properties calculated at the PBE level.

Cell and atoms, written as POSCAR:
```
RbHgN2
1.0
-3.3748 3.3748 3.9030
3.3748 -3.3748 3.9030
3.3748 3.3748 -3.9030
Rb Hg N
2 2 4
Cartesian
0.0000 0.0000 0.0000
0.0000 3.3748 1.9515
3.3748 0.0000 1.9515
0.0000 0.0000 3.9030
1.6874 -1.0707 2.9273
2.3041 1.6874 0.9758
1.6874 4.4455 -0.9758
1.0707 1.6874 4.8788
```

Values from the calculation:
- raw total energy (eV/atom) = -3.054
- space-group type = I-42d, No. 122

=====

[10]
Below is a relaxed RbHgN3 crystal, with properties calculated at the PBE level.

Cell and atoms, written as POSCAR:
```
RbHgN3
1.0
5.2289 0.0000 0.0000
0.0000 5.2289 0.0000
0.0000 0.0000 5.2289
Rb Hg N
1 1 3
Cartesian
0.0000 0.0000 0.0000
2.6145 2.6145 2.6145
0.0000 0.0000 2.6145
0.0000 2.6145 0.0000
2.6145 0.0000 0.0000
```

Values from the calculation:
- raw total energy (eV/atom) = -2.508
- space-group type = Pm-3m, No. 221

=====

[11]
Below is a relaxed Rb2HgRhN crystal, with properties calculated at the PBE level.

Cell and atoms, written as POSCAR:
```
Rb2HgRhN
1.0
6.3244 0.0000 0.0000
0.0000 6.3244 0.0000
0.0000 0.0000 3.9584
Rb Hg Rh N
2 1 1 1
Cartesian
0.0000 3.1622 0.0000
3.1622 0.0000 0.0000
0.0000 0.0000 1.9792
3.1622 3.1622 1.9792
0.0000 0.0000 0.0000
```

Values from the calculation:
- ΔE to the lowest computed polymorph (eV/f.u.) = 4.72
- space-group type = P4/mmm, No. 123

=====

[12]
Below is a relaxed Rb2HgRhN crystal, with properties calculated at the PBE level.

Cell and atoms, written as POSCAR:
```
Rb2HgRhN
1.0
6.2986 0.0000 0.0000
0.0000 6.2986 0.0000
0.0000 0.0000 3.7479
Rb Hg Rh N
2 1 1 1
Cartesian
0.0000 3.1493 0.0000
3.1493 0.0000 0.0000
0.0000 0.0000 1.8739
3.1493 3.1493 1.8739
3.1493 3.1493 0.0000
```

Values from the calculation:
- ΔE to the lowest computed polymorph (eV/f.u.) = 0.00
- space-group type = P4/mmm, No. 123

=====

[13]
Below is a relaxed RbHgS2N crystal, with properties calculated at the PBE level.

Cell and atoms, written as POSCAR:
```
RbHgS2N
1.0
6.6182 0.0000 0.0000
0.0000 6.6182 0.0000
0.0000 0.0000 6.0819
Rb Hg S N
1 1 2 1
Cartesian
0.0000 0.0000 0.0000
3.3091 3.3091 3.0409
0.0000 3.3091 0.0000
3.3091 0.0000 0.0000
0.0000 0.0000 3.0409
```

Values from the calculation:
- ΔE to the lowest computed polymorph (eV/f.u.) = 3.94
- space-group type = P4/mmm, No. 123

=====

[14]
Below is a relaxed RbHgS2N crystal, with properties calculated at the PBE level.

Cell and atoms, written as POSCAR:
```
RbHgS2N
1.0
5.2386 0.0000 0.0000
0.0000 5.2386 0.0000
0.0000 0.0000 4.5577
Rb Hg S N
1 1 2 1
Cartesian
0.0000 0.0000 0.0000
2.6193 2.6193 2.2789
0.0000 2.6193 2.2789
2.6193 0.0000 2.2789
2.6193 2.6193 0.0000
```

Values from the calculation:
- ΔE to the lowest computed polymorph (eV/f.u.) = 0.00
- space-group type = P4/mmm, No. 123

=====

[15]
Below is a relaxed RbHgTeN2 crystal, with properties calculated at the PBE level.

Cell and atoms, written as POSCAR:
```
RbHgTeN2
1.0
5.2486 0.0000 0.0000
0.0000 5.2486 0.0000
0.0000 0.0000 7.3932
Rb Hg Te N
1 1 1 2
Cartesian
0.0000 0.0000 0.0000
2.6243 2.6243 3.6966
0.0000 0.0000 3.6966
0.0000 2.6243 0.0000
2.6243 0.0000 0.0000
```

Values from the calculation:
- ΔE to the lowest computed polymorph (eV/f.u.) = 2.48
- space-group type = P4/mmm, No. 123

=====

[16]
Below is a relaxed RbHgTeN2 crystal, with properties calculated at the PBE level.

Cell and atoms, written as POSCAR:
```
RbHgTeN2
1.0
4.9636 0.0000 0.0000
0.0000 4.9636 0.0000
0.0000 0.0000 5.7941
Rb Hg Te N
1 1 1 2
Cartesian
0.0000 0.0000 0.0000
2.4818 2.4818 2.8971
2.4818 2.4818 0.0000
0.0000 2.4818 2.8971
2.4818 0.0000 2.8971
```

Values from the calculation:
- ΔE to the lowest computed polymorph (eV/f.u.) = 0.00
- space-group type = P4/mmm, No. 123

=====

[17]
Below is a relaxed RbHgTe2N crystal, with properties calculated at the PBE level.

Cell and atoms, written as POSCAR:
```
RbHgTe2N
1.0
6.4325 0.0000 0.0000
0.0000 6.4325 0.0000
0.0000 0.0000 3.9826
Rb Hg Te N
1 1 2 1
Cartesian
0.0000 0.0000 0.0000
3.2162 3.2162 1.9913
0.0000 3.2162 1.9913
3.2162 0.0000 1.9913
3.2162 3.2162 0.0000
```

Values from the calculation:
- ΔE to the lowest computed polymorph (eV/f.u.) = 0.00
- space-group type = P4/mmm, No. 123

=====

[18]
Below is a relaxed RbHgTe2N crystal, with properties calculated at the PBE level.

Cell and atoms, written as POSCAR:
```
RbHgTe2N
1.0
7.1627 0.0000 0.0000
0.0000 7.1627 0.0000
0.0000 0.0000 5.7396
Rb Hg Te N
1 1 2 1
Cartesian
0.0000 0.0000 0.0000
3.5813 3.5813 2.8698
0.0000 3.5813 0.0000
3.5813 0.0000 0.0000
0.0000 0.0000 2.8698
```

Values from the calculation:
- ΔE to the lowest computed polymorph (eV/f.u.) = 3.51
- space-group type = P4/mmm, No. 123

=====

[19]
Below is a relaxed RbTi2HgN crystal, with properties calculated at the PBE level.

Cell and atoms, written as POSCAR:
```
RbTi2HgN
1.0
5.0627 0.0000 0.0000
0.0000 5.0627 0.0000
0.0000 0.0000 6.2763
Rb Ti Hg N
1 2 1 1
Cartesian
0.0000 0.0000 0.0000
0.0000 2.5314 3.1382
2.5314 0.0000 3.1382
0.0000 0.0000 3.1382
2.5314 2.5314 0.0000
```

Values from the calculation:
- raw total energy (eV/atom) = -3.025
- space-group type = P4/mmm, No. 123

=====

[20]
Below is a relaxed RbY2HgN crystal, with properties calculated at the PBE level.

Cell and atoms, written as POSCAR:
```
RbY2HgN
1.0
4.7170 0.0000 0.0000
0.0000 4.7170 0.0000
0.0000 0.0000 7.3497
Rb Y Hg N
1 2 1 1
Cartesian
0.0000 0.0000 0.0000
0.0000 2.3585 3.6748
2.3585 0.0000 3.6748
2.3585 2.3585 0.0000
2.3585 2.3585 3.6748
```

Values from the calculation:
- raw total energy (eV/atom) = -4.667
- space-group type = P4/mmm, No. 123

=====

[21]
Below is a relaxed RbZn2HgN crystal, with properties calculated at the PBE level.

Cell and atoms, written as POSCAR:
```
RbZn2HgN
1.0
5.0416 0.0000 0.0000
0.0000 5.0416 0.0000
0.0000 0.0000 7.2396
Rb Zn Hg N
1 2 1 1
Cartesian
0.0000 0.0000 0.0000
0.0000 2.5208 3.6198
2.5208 0.0000 3.6198
0.0000 0.0000 3.6198
2.5208 2.5208 0.0000
```

Values from the calculation:
- raw total energy (eV/atom) = -1.423
- space-group type = P4/mmm, No. 123

=====

[22]
Below is a relaxed ReHg2N crystal, with properties calculated at the PBE level.

Cell and atoms, written as POSCAR:
```
ReHg2N
1.0
-4.6970 4.6970 1.8986
4.6970 -4.6970 1.8986
4.6970 4.6970 -1.8986
Re Hg N
2 4 2
Cartesian
0.0000 0.0000 0.0000
0.0000 4.6970 0.9493
2.3485 -1.1973 1.4240
3.4997 2.3485 0.4747
2.3485 5.8944 -0.4747
1.1973 2.3485 2.3733
4.6970 0.0000 0.9493
0.0000 0.0000 1.8986
```

Values from the calculation:
- raw total energy (eV/atom) = -4.410
- space-group type = I-42d, No. 122

=====

[23]
Below is a relaxed Re3HgN crystal, with properties calculated at the PBE level.

Cell and atoms, written as POSCAR:
```
Re3HgN
1.0
4.8974 0.0000 0.0000
0.0000 4.8974 0.0000
0.0000 0.0000 4.8974
Re Hg N
3 1 1
Cartesian
0.0000 0.0000 2.4487
0.0000 2.4487 0.0000
2.4487 0.0000 0.0000
0.0000 0.0000 0.0000
2.4487 2.4487 2.4487
```

Values from the calculation:
- ΔE to the lowest computed polymorph (eV/f.u.) = 19.79
- space-group type = Pm-3m, No. 221

=====

[24]
Below is a relaxed Re3HgN crystal, with properties calculated at the PBE level.

Cell and atoms, written as POSCAR:
```
Re3HgN
1.0
4.1439 0.0000 0.0000
0.0000 4.1439 0.0000
0.0000 0.0000 4.1439
Re Hg N
3 1 1
Cartesian
0.0000 0.0000 2.0719
0.0000 2.0719 0.0000
2.0719 0.0000 0.0000
2.0719 2.0719 2.0719
0.0000 0.0000 0.0000
```

Values from the calculation:
- ΔE to the lowest computed polymorph (eV/f.u.) = 0.00
- space-group type = Pm-3m, No. 221

=====

[25]
Below is a relaxed ScRe2HgN crystal, with properties calculated at the PBE level.

Cell and atoms, written as POSCAR:
```
ScRe2HgN
1.0
3.9831 0.0000 0.0000
0.0000 3.9831 0.0000
0.0000 0.0000 5.3197
Sc Re Hg N
1 2 1 1
Cartesian
0.0000 0.0000 0.0000
0.0000 1.9915 2.6598
1.9915 0.0000 2.6598
1.9915 1.9915 0.0000
1.9915 1.9915 2.6598
```

Values from the calculation:
- raw total energy (eV/atom) = -7.631
- space-group type = P4/mmm, No. 123

=====

[26]
Below is a relaxed ReHgSeN2 crystal, with properties calculated at the PBE level.

Cell and atoms, written as POSCAR:
```
ReHgSeN2
1.0
4.1189 0.0000 0.0000
0.0000 4.1189 0.0000
0.0000 0.0000 6.1427
Re Hg Se N
1 1 1 2
Cartesian
0.0000 0.0000 0.0000
2.0595 2.0595 3.0714
2.0595 2.0595 0.0000
0.0000 2.0595 3.0714
2.0595 0.0000 3.0714
```

Values from the calculation:
- ΔE to the lowest computed polymorph (eV/f.u.) = 10.81
- space-group type = P4/mmm, No. 123

=====

[27]
Below is a relaxed ReHgSeN2 crystal, with properties calculated at the PBE level.

Cell and atoms, written as POSCAR:
```
ReHgSeN2
1.0
3.8829 0.0000 0.0000
0.0000 3.8829 0.0000
0.0000 0.0000 5.5592
Re Hg Se N
1 1 1 2
Cartesian
0.0000 0.0000 0.0000
1.9415 1.9415 2.7796
0.0000 0.0000 2.7796
0.0000 1.9415 0.0000
1.9415 0.0000 0.0000
```

Values from the calculation:
- ΔE to the lowest computed polymorph (eV/f.u.) = 0.00
- space-group type = P4/mmm, No. 123

=====

[28]
Below is a relaxed ReSnHg2N crystal, with properties calculated at the PBE level.

Cell and atoms, written as POSCAR:
```
ReSnHg2N
1.0
4.5139 0.0000 0.0000
0.0000 4.5139 0.0000
0.0000 0.0000 4.7758
Re Sn Hg N
1 1 2 1
Cartesian
0.0000 0.0000 0.0000
2.2570 2.2570 0.0000
0.0000 2.2570 2.3879
2.2570 0.0000 2.3879
2.2570 2.2570 2.3879
```

Values from the calculation:
- raw total energy (eV/atom) = -3.601
- space-group type = P4/mmm, No. 123